The following is a DFT calculation (PBE) of a geometry-optimized RbMnCr3 structure.

Results
Magnetic moment = 15.507 Bohr magnetons per cell
Calculated formation energy = 14.14 eV per formula unit

Cell: 4.8687 4.8687 4.8687 Å, 90.00 90.00 90.00°
Element x y z (fractional)
Cr  0.5000  0.0000  0.0000
Cr  0.0000  0.0000  0.5000
Cr  0.0000  0.5000  0.0000
Mn  0.5000  0.5000  0.5000
Rb  0.0000  0.0000  0.0000

The following is a DFT calculation (PBE) of a geometry-optimized RbMn2Cr structure.

Results
Distance to the lowest polymorph of the same formula = 279 meV per atom
Magnetic moment = 1.653 Bohr magnetons per cell
Calculated formation energy = 8.20 eV per formula unit

Cell: 4.4028 4.4028 4.4028 Å, 60.00 60.00 60.00°
Element x y z (fractional)
Mn  0.7500  0.7500  0.7500
Mn  0.2500  0.2500  0.2500
Cr  0.0000  0.0000  0.0000
Rb  0.5000  0.5000  0.5000